# 1
CrInCl2, optimized geometry, DFT PBEsol; space-group type = Cmmm; DOS(E_F) = 0.434 states/eV per atom; E = -4.749 eV per atom
1.0
3.407 0.000 0.000
0.000 6.045 0.000
0.000 0.000 9.101
Cr In Cl
2 2 4
direct
0.000 0.000 0.000
0.500 0.500 0.000
0.000 0.000 0.500
0.500 0.500 0.500
0.000 0.500 0.180
0.000 0.500 0.820
0.500 0.000 0.180
0.500 0.000 0.820



# 2
LiTi3P3O13, optimized geometry, DFT PBEsol; space-group type = P2_1/m; DOS(E_F) = 0.372 states/eV per atom; E = -8.177 eV per atom
1.0
7.554 0.000 0.000
0.000 6.315 0.000
-1.798 0.000 10.303
Li Ti P O
2 6 6 26
direct
0.110 0.250 0.135
0.890 0.750 0.865
0.138 0.250 0.807
0.281 0.750 0.446
0.500 0.000 0.000
0.500 0.500 0.000
0.719 0.250 0.554
0.862 0.750 0.193
0.196 0.750 0.122
0.223 0.750 0.768
0.277 0.250 0.518
0.723 0.750 0.482
0.777 0.250 0.232
0.804 0.250 0.878
0.002 0.750 0.043
0.109 0.559 0.795
0.109 0.941 0.795
0.153 0.750 0.263
0.172 0.250 0.629
0.233 0.053 0.434
0.233 0.447 0.434
0.270 0.750 0.631
0.296 0.546 0.098
0.296 0.954 0.098
0.362 0.250 0.906
0.402 0.750 0.871
0.483 0.250 0.575
0.517 0.750 0.425
0.598 0.250 0.129
0.638 0.750 0.094
0.704 0.046 0.902
0.704 0.454 0.902
0.730 0.250 0.369
0.767 0.553 0.566
0.767 0.947 0.566
0.828 0.750 0.371
0.847 0.250 0.737
0.891 0.059 0.205
0.891 0.441 0.205
0.998 0.250 0.957



# 3
Sc2CrOs, optimized geometry, DFT PBEsol; space-group type = Pm; DOS(E_F) = 0.879 states/eV per atom; E = -8.830 eV per atom; ΔE_f = 0.0866 eV per atom
1.0
2.962 0.000 0.000
0.000 4.153 0.000
-1.268 0.000 5.332
Sc Cr Os
2 1 1
direct
0.000 0.000 0.000
0.271 0.500 0.695
0.725 0.500 0.256
0.548 0.000 0.448



# 4
NdAl3, optimized geometry, DFT PBEsol; space-group type = P6_3/mmc; DOS(E_F) = 0.364 states/eV per atom; E = -4.810 eV per atom; ΔE_f = -0.4501 eV per atom
1.0
6.409 0.000 0.000
-3.204 5.550 0.000
0.000 0.000 4.611
Nd Al
2 6
direct
0.333 0.667 0.250
0.667 0.333 0.750
0.143 0.286 0.750
0.143 0.857 0.750
0.286 0.143 0.250
0.714 0.857 0.750
0.857 0.143 0.250
0.857 0.714 0.250



# 5
YSc2Ag, optimized geometry, DFT PBEsol; space-group type = Imm2; DOS(E_F) = 1.419 states/eV per atom; E = -5.927 eV per atom; ΔE_f = -0.0907 eV per atom
1.0
3.569 0.000 0.000
0.000 4.958 0.000
0.000 0.000 10.392
Y Sc Ag
2 4 2
direct
0.000 0.000 0.000
0.500 0.500 0.500
0.000 0.000 0.442
0.000 0.500 0.221
0.500 0.000 0.721
0.500 0.500 0.942
0.000 0.500 0.733
0.500 0.000 0.233



# 6
La3Te5, optimized geometry, DFT PBEsol; space-group type = P6_3/mcm; DOS(E_F) = 0.036 states/eV per atom; E = -5.721 eV per atom
1.0
9.590 0.000 0.000
-4.795 8.305 0.000
0.000 0.000 6.326
La Te
6 10
direct
0.000 0.372 0.250
0.000 0.628 0.750
0.372 0.000 0.250
0.372 0.372 0.750
0.628 0.000 0.750
0.628 0.628 0.250
0.000 0.274 0.750
0.000 0.726 0.250
0.274 0.000 0.750
0.274 0.274 0.250
0.333 0.667 0.000
0.333 0.667 0.500
0.667 0.333 0.000
0.667 0.333 0.500
0.726 0.000 0.250
0.726 0.726 0.750



> Number 4 is which compound?

NdAl3



> Among the records above, which one has the lowest E?

Sc2CrOs



> Look up the E of the fifth one.

-5.927 eV per atom



> What is the E in the fifth record?

-5.927 eV per atom